An optimized crystal structure of SrVTc3, computed with PBE-GGA.

E_form	450.2	kJ/mol of formula units
DOS(E_F)	4.5	states/eV/f.u.

The structure in POSCAR format:
```
SrVTc3
1.0
4.655 0.000 0.000
0.000 4.655 0.000
0.000 0.000 4.655
Tc Sr V
3 1 1
Cartesian
2.327 0.000 0.000
0.000 2.327 0.000
0.000 0.000 2.327
2.327 2.327 2.327
0.000 0.000 0.000
```